# TbYTm3Sc | Alexandria via LeMat-Bulk | PBE | relaxed
# energy relative to the elements = 0.042 eV per atom
# theoretical density = 7.44 g cm⁻³
data_TbYTm3Sc
_cell_length_a 10.420
_cell_length_b 3.477
_cell_length_c 10.440
_cell_angle_alpha 90.00
_cell_angle_beta 109.35
_cell_angle_gamma 90.00
_space_group_name_H-M_alt 'P 1 21/m 1'
_space_group_IT_number 11
_space_group_name_Hall '-P 2yb'
loop_
_atom_site_label
_atom_site_type_symbol
_atom_site_fract_x
_atom_site_fract_y
_atom_site_fract_z
Tb1 Tb 0.129 0.250 0.129
Y1 Y 0.296 0.250 0.621
Tm1 Tm 0.042 0.750 0.375
Tm2 Tm 0.209 0.750 0.875
Tm3 Tm 0.457 0.250 0.128
Sc1 Sc 0.380 0.750 0.378



# Ca5C3 | Alexandria via LeMat-Bulk | PBE | relaxed
# polymorph energy (0 for the lowest one) = 117.3 meV/atom
# energy relative to the elements = 0.667 eV per atom
# theoretical density = 2.45 g cm⁻³
data_Ca5C3
_cell_length_a 7.157
_cell_length_b 10.877
_cell_length_c 4.125
_cell_angle_alpha 90.00
_cell_angle_beta 90.00
_cell_angle_gamma 90.00
_space_group_name_H-M_alt 'C m m m'
_space_group_IT_number 65
_space_group_name_Hall '-C 2 2'
loop_
_atom_site_label
_atom_site_type_symbol
_atom_site_fract_x
_atom_site_fract_y
_atom_site_fract_z
Ca1 Ca 0.000 0.000 0.000
Ca2 Ca 0.197 0.500 0.500
Ca3 Ca 0.250 0.250 0.000
C1 C 0.000 0.136 0.500
C2 C 0.000 0.500 0.000



# KGaSi | Alexandria via LeMat-Bulk | PBE | relaxed
# formation energy without anion corrections = -0.122 eV per atom
# theoretical density = 2.73 g cm⁻³
data_KGaSi
_cell_length_a 4.1875
_cell_length_b 4.1875
_cell_length_c 5.4814
_cell_angle_alpha 90.00
_cell_angle_beta 90.00
_cell_angle_gamma 120.00
_space_group_name_H-M_alt 'P -6 m 2'
_space_group_IT_number 187
_space_group_name_Hall 'P -6 2'
loop_
_atom_site_label
_atom_site_type_symbol
_atom_site_fract_x
_atom_site_fract_y
_atom_site_fract_z
K1 K 0.0000 0.0000 0.0000
Ga1 Ga 0.6667 0.3333 0.5000
Si1 Si 0.3333 0.6667 0.5000



no.,spin magnetization (μB/f.u.)
1,0.00
2,0.00
3,0.00